Entry 1:
Density functional theory data (PBE) for a relaxed structure of CuAg.

As for the space group: No. 59. The value obtained for the formation enthalpy at 0 K is 89 meV per atom.

The structure in POSCAR format:
```
CuAg
1.0
-0.989 1.068 2.369
-3.279 -1.544 -0.674
10.155 -29.147 17.377
Ag Cu
12 12
Direct
0.000 0.000 0.024
0.500 0.500 0.071
0.000 0.000 0.118
0.500 0.500 0.165
0.000 0.000 0.212
0.500 0.500 0.259
0.000 0.000 0.741
0.500 0.500 0.788
0.000 0.000 0.835
0.500 0.500 0.882
0.000 0.000 0.929
0.500 0.500 0.976
0.500 0.000 0.309
0.000 0.500 0.339
0.500 0.000 0.377
0.000 0.500 0.411
0.500 0.000 0.447
0.000 0.500 0.482
0.500 0.000 0.518
0.000 0.500 0.553
0.500 0.000 0.589
0.000 0.500 0.623
0.500 0.000 0.661
0.000 0.500 0.691
```

=====

Entry 2:
Density functional theory data (PBE) for a relaxed structure of Cu2Ag7.

As for the space group: No. 71. The distance to the lowest polymorph of the same formula comes out at 0.032 eV/atom. The value obtained for the formation enthalpy at 0 K is 58 meV per atom.

The structure in POSCAR format:
```
Cu2Ag7
1.0
-1.453 4.329 5.994
1.453 -4.329 5.994
1.453 4.329 -5.994
Ag Cu
7 2
Direct
0.000 0.000 0.000
0.344 0.344 0.000
0.656 0.656 0.000
0.666 0.337 0.329
0.991 0.663 0.329
0.009 0.337 0.671
0.334 0.663 0.671
0.337 0.000 0.337
0.663 0.000 0.663
```

=====

Entry 3:
Density functional theory data (PBE) for a relaxed structure of Cu2Ag7.

As for the space group: No. 139. The distance to the lowest polymorph of the same formula comes out at 0.000 eV/atom. The value obtained for the formation enthalpy at 0 K is 26 meV per atom.

The structure in POSCAR format:
```
Cu2Ag7
1.0
-1.455 1.455 17.692
1.455 -1.455 17.692
1.455 1.455 -17.692
Ag Cu
7 2
Direct
0.000 0.000 0.000
0.119 0.119 0.000
0.321 0.321 0.000
0.440 0.440 0.000
0.560 0.560 0.000
0.679 0.679 0.000
0.881 0.881 0.000
0.230 0.230 0.000
0.770 0.770 0.000
```

=====

Entry 4:
Density functional theory data (PBE) for a relaxed structure of Cu3Ag2.

As for the space group: No. 1. The distance to the lowest polymorph of the same formula comes out at 0.059 eV/atom. The value obtained for the formation enthalpy at 0 K is 101 meV per atom.

The structure in POSCAR format:
```
Cu3Ag2
1.0
-2.953 3.330 -1.576
-2.834 -3.783 -0.367
0.730 0.828 7.075
Ag Cu
4 6
Direct
0.391 0.185 0.386
0.605 0.793 0.593
0.803 0.397 0.808
0.401 0.721 0.913
0.002 0.015 0.007
0.610 0.315 0.111
0.185 0.591 0.199
0.811 0.891 0.299
0.999 0.492 0.488
0.193 0.099 0.696
```

=====

What is the formation enthalpy at 0 K in the second record? 58 meV per atom

=====

Which value of formation enthalpy at 0 K does entry 1 give? 89 meV per atom

=====

Which value of formation enthalpy at 0 K does entry 4 give? 101 meV per atom

=====

Please write out number 2 again, unchanged.
Density functional theory data (PBE) for a relaxed structure of Cu2Ag7.

As for the space group: No. 71. The distance to the lowest polymorph of the same formula comes out at 0.032 eV/atom. The value obtained for the formation enthalpy at 0 K is 58 meV per atom.

The structure in POSCAR format:
```
Cu2Ag7
1.0
-1.453 4.329 5.994
1.453 -4.329 5.994
1.453 4.329 -5.994
Ag Cu
7 2
Direct
0.000 0.000 0.000
0.344 0.344 0.000
0.656 0.656 0.000
0.666 0.337 0.329
0.991 0.663 0.329
0.009 0.337 0.671
0.334 0.663 0.671
0.337 0.000 0.337
0.663 0.000 0.663
```